(1)
VASP calculation (PBE-GGA) on crystalline ZnCuPt2 at its relaxed geometry.

Output
space-group type = F-43m, No. 216
final energy = -17.88 eV for the cell shown
density = 14.7 Mg/m³

Unit cell a=4.3650 b=4.3650 c=4.3650 alpha=60.00 beta=60.00 gamma=60.00
With the nearest neighbours (Å) after each atom.
Positions (direct):
Cu (0.2500, 0.2500, 0.2500)  4 Zn 2.67, 4 Pt 2.67
Pt (0.7500, 0.7500, 0.7500)  4 Pt 2.67, 4 Zn 2.67
Pt (0.5000, 0.5000, 0.5000)  4 Cu 2.67, 4 Pt 2.67
Zn (0.0000, 0.0000, 0.0000)  4 Cu 2.67, 4 Pt 2.67

***

(2)
VASP calculation (PBE-GGA) on crystalline GePW at its relaxed geometry.

Output
space-group type = P4/mmm, No. 123
final energy = -21.71 eV for the cell shown
density = 7.9 Mg/m³

Unit cell a=3.6092 b=3.6092 c=4.6546 alpha=90.00 beta=90.00 gamma=90.00
With the nearest neighbours (Å) after each atom.
Positions (direct):
Ge (0.0000, 0.0000, 0.0000)  4 W 2.55
P (0.5000, 0.5000, 0.5000)  2 W 2.33
W (0.5000, 0.5000, 0.0000)  2 P 2.33, 4 Ge 2.55

***

(3)
VASP calculation (PBE-GGA) on crystalline KReNO at its relaxed geometry.

Output
energy relative to the lowest polymorph listed for this composition = 0.6633 eV/atom
space-group type = C2/m, No. 12
density = 6.4 Mg/m³

Unit cell a=4.2485 b=4.2485 c=7.5069 alpha=90.17 beta=90.17 gamma=76.18
With the nearest neighbours (Å) after each atom.
Positions (direct):
K (0.7501, 0.2499, 0.5000)  4 N 2.58, 2 K 2.62
K (0.2499, 0.7501, 0.5000)  4 N 2.58, 2 K 2.62
Re (0.7518, 0.7518, 0.0710)  1 N 1.76
Re (0.2482, 0.2482, 0.9290)  1 N 1.76
N (0.2511, 0.2511, 0.6947)  1 Re 1.76
N (0.7489, 0.7489, 0.3053)  1 Re 1.76
O (0.7512, 0.2488, 0.0000)  4 Re 2.18-2.20
O (0.2488, 0.7512, 0.0000)  4 Re 2.18-2.20

***

(4)
VASP calculation (PBE-GGA) on crystalline TbFeAu at its relaxed geometry.

Output
space-group type = F-43m, No. 216
final energy = -16.06 eV for the cell shown
density = 10.7 Mg/m³

Unit cell a=4.4827 b=4.4827 c=4.4827 alpha=60.00 beta=60.00 gamma=60.00
With the nearest neighbours (Å) after each atom.
Positions (direct):
Tb (0.7500, 0.7500, 0.7500)  4 Fe 2.75
Fe (0.0000, 0.0000, 0.0000)  4 Au 2.75, 4 Tb 2.75
Au (0.2500, 0.2500, 0.2500)  4 Fe 2.75

***

(5)
VASP calculation (PBE-GGA) on crystalline CoReNiPb at its relaxed geometry.

Output
energy relative to the lowest polymorph listed for this composition = 0.1064 eV/atom
space-group type = F-43m, No. 216
density = 14.1 Mg/m³

Unit cell a=4.4011 b=4.4011 c=4.4011 alpha=60.00 beta=60.00 gamma=60.00
With the nearest neighbours (Å) after each atom.
Positions (direct):
Pb (0.0000, 0.0000, 0.0000)  4 Co 2.70, 4 Re 2.70
Ni (0.5000, 0.5000, 0.5000)  4 Co 2.70, 4 Re 2.70
Co (0.7500, 0.7500, 0.7500)  4 Ni 2.70, 4 Pb 2.70
Re (0.2500, 0.2500, 0.2500)  4 Pb 2.70, 4 Ni 2.70

***

(6)
VASP calculation (PBE-GGA) on crystalline HfZrBiSb at its relaxed geometry.

Output
space-group type = P-3m1, No. 164
final energy = -56.39 eV for the cell shown
density = 9.8 Mg/m³

Unit cell a=4.1500 b=4.1500 c=13.6965 alpha=90.00 beta=90.00 gamma=120.00
With the nearest neighbours (Å) after each atom.
Positions (direct):
Sb (0.0000, 0.0000, 0.0000)  6 Zr 2.86
Sb (0.0000, 0.0000, 0.5000)  6 Hf 2.85
Zr (0.6667, 0.3333, 0.8859)  3 Sb 2.86, 3 Bi 3.06
Zr (0.3333, 0.6667, 0.1141)  3 Sb 2.86, 3 Bi 3.06
Hf (0.6667, 0.3333, 0.6133)  3 Sb 2.85, 3 Bi 3.02
Hf (0.3333, 0.6667, 0.3867)  3 Sb 2.85, 3 Bi 3.02
Bi (0.3333, 0.6667, 0.7473)  3 Hf 3.02, 3 Zr 3.06
Bi (0.6667, 0.3333, 0.2527)  3 Hf 3.02, 3 Zr 3.06

***

(7)
VASP calculation (PBE-GGA) on crystalline BaCuSbPt at its relaxed geometry.

Output
energy relative to the lowest polymorph listed for this composition = 0.1259 eV/atom
space-group type = F-43m, No. 216
density = 9.2 Mg/m³

Unit cell a=5.0940 b=5.0940 c=5.0940 alpha=60.00 beta=60.00 gamma=60.00
With the nearest neighbours (Å) after each atom.
Positions (direct):
Pt (0.5000, 0.5000, 0.5000)  4 Sb 3.12, 4 Cu 3.12
Cu (0.7500, 0.7500, 0.7500)  4 Ba 3.12, 4 Pt 3.12
Sb (0.2500, 0.2500, 0.2500)  4 Ba 3.12, 4 Pt 3.12
Ba (0.0000, 0.0000, 0.0000)  4 Cu 3.12, 4 Sb 3.12

***

(8)
VASP calculation (PBE-GGA) on crystalline TbHo4Se5 at its relaxed geometry.

Output
space-group type = I4/mmm, No. 139
final energy = -57.66 eV for the cell shown
density = 8.6 Mg/m³

Unit cell a=14.6583 b=14.6583 c=14.6583 alpha=164.13 beta=164.13 gamma=22.52
With the nearest neighbours (Å) after each atom.
Positions (direct):
Se (0.5000, 0.5000, 0.0000)  2 Ho 2.81, 4 Tb 2.86
Se (0.8981, 0.8981, 0.0000)  5 Ho 2.86-2.92, 1 Tb 2.93
Se (0.1019, 0.1019, 0.0000)  5 Ho 2.86-2.92, 1 Tb 2.93
Se (0.3023, 0.3023, 0.0000)  6 Ho 2.85-2.87
Se (0.6977, 0.6977, 0.0000)  6 Ho 2.85-2.87
Ho (0.7967, 0.7967, 0.0000)  6 Se 2.85-2.92
Ho (0.5978, 0.5978, 0.0000)  6 Se 2.81-2.87
Ho (0.2033, 0.2033, 0.0000)  6 Se 2.85-2.92
Ho (0.4022, 0.4022, 0.0000)  6 Se 2.81-2.87
Tb (0.0000, 0.0000, 0.0000)  6 Se 2.86-2.93